# SrGa11Rh PBE relaxed
data_SrGa11Rh
_chemical_formula_sum 'Sr2 Ga22 Rh2'
_symmetry_space_group_name_H-M 'C 1 2/m 1'
_symmetry_Int_Tables_number 12
_symmetry_space_group_name_Hall '-C 2y'
_cell_length_a 5.171
_cell_length_b 12.482
_cell_length_c 8.106
_cell_angle_alpha 90.00
_cell_angle_beta 107.87
_cell_angle_gamma 90.00
loop_
_atom_site_label
_atom_site_type_symbol
_atom_site_fract_x
_atom_site_fract_y
_atom_site_fract_z
Sr1 Sr 0.000 0.000 0.000
Ga1 Ga 0.000 0.000 0.500
Ga2 Ga 0.122 0.389 0.239
Ga3 Ga 0.201 0.175 0.368
Ga4 Ga 0.250 0.250 0.000
Rh1 Rh 0.000 0.500 0.500
# E_form: -0.22 eV per atom